(1)
This record from the Alexandria database describes a relaxed Sr2CeEuCu2RuO10 crystal. The functional is GGA-PBEsol.

abc: 3.8009 3.8009 14.6111
angles: 97.48 97.48 90.00
With the nearest neighbours (Å) after each atom.
Fractional coordinates of all 17 atoms:
Cu: 0.8635 0.8635 0.7122  4 O 1.91
Cu: 0.1508 0.1508 0.2873  5 O 1.91-2.12
O: 0.5091 0.0093 0.0014  2 Ru 1.90
O: 0.2547 0.7547 0.4955  2 Ce 2.25, 2 Eu 2.34
O: 0.9397 0.9397 0.8629  1 Ru 1.97, 1 Cu 2.16
O: 0.1576 0.6578 0.3011  2 Cu 1.91
O: 0.0781 0.0781 0.1394  1 Ru 2.00, 1 Cu 2.12
O: 0.3584 0.8582 0.7020  2 Cu 1.91
O: 0.6578 0.1576 0.3011  2 Cu 1.91
O: 0.8582 0.3584 0.7020  2 Cu 1.91
O: 0.7547 0.2547 0.4955  2 Ce 2.25, 2 Eu 2.34
O: 0.0093 0.5091 0.0014  2 Ru 1.90
Ru: 0.0086 0.0086 0.0004  6 O 1.90-2.00
Ce: 0.7128 0.7128 0.4117  8 O 2.25-2.48
Sr: 0.4272 0.4272 0.8390  12 O 2.71-3.01
Sr: 0.5859 0.5859 0.1563  12 O 2.70-2.93
Eu: 0.3025 0.3025 0.5908  8 O 2.34-2.48

Output
Symmetry: Cm
Formation energy without anion corrections, meV/atom: -2096.7


(2)
This record from the Alexandria database describes a relaxed ZnInPb2 crystal. The functional is GGA-PBEsol.

abc: 3.5345 5.3840 6.1796
angles: 115.82 106.62 90.00
With the nearest neighbours (Å) after each atom.
Fractional coordinates of all 4 atoms:
In: 0.2174 0.7174 0.4348  2 Zn 2.83
Pb: 0.9935 0.9935 0.9870  4 Zn 3.22, 4 In 3.41-3.58, 6 Pb 3.50-3.53
Pb: 0.7813 0.2813 0.5626  2 Zn 2.97, 4 In 3.29
Zn: 0.5078 0.5078 0.0157  2 In 2.83, 2 Pb 2.97

Output
Symmetry: Imm2
Formation energy, eV per atom: 0.11


(3)
This record from the Alexandria database describes a relaxed KCdCu crystal. The functional is GGA-PBEsol.

abc: 4.5058 4.5058 4.7935
angles: 90.00 90.00 120.00
With the nearest neighbours (Å) after each atom.
Fractional coordinates of all 3 atoms:
Cd: 0.0000 0.0000 0.0000  3 Cu 2.60
K: 0.6667 0.3333 0.5000  6 Cu 3.54, 6 Cd 3.54
Cu: 0.3333 0.6667 0.0000  3 Cd 2.60

Output
Symmetry: P-6m2
E above lowest polymorph, eV/f.u.: 0.126
Formation energy, eV per atom: 0.26


(4)
This record from the Alexandria database describes a relaxed HgPb8 crystal. The functional is GGA-PBEsol.

abc: 4.9459 7.6587 7.6587
angles: 84.02 71.16 71.16
With the nearest neighbours (Å) after each atom.
Fractional coordinates of all 9 atoms:
Hg: 0.0000 0.0000 0.0000  12 Pb 3.39-3.44
Pb: 0.6652 0.0000 0.6695  10 Pb 3.39-3.49, 2 Hg 3.44
Pb: 0.0000 0.6696 0.3304  1 Hg 3.39, 11 Pb 3.43-3.49
Pb: 0.6652 0.6695 0.0000  10 Pb 3.39-3.49, 2 Hg 3.44
Pb: 0.3348 0.0000 0.3305  10 Pb 3.39-3.49, 2 Hg 3.44
Pb: 0.6696 0.3304 0.3304  1 Hg 3.39, 11 Pb 3.43-3.49
Pb: 0.0000 0.3304 0.6696  1 Hg 3.39, 11 Pb 3.43-3.49
Pb: 0.3304 0.6696 0.6696  1 Hg 3.39, 11 Pb 3.43-3.49
Pb: 0.3348 0.3305 0.0000  10 Pb 3.39-3.49, 2 Hg 3.44

Output
Symmetry: I4/mmm
Formation energy, eV per atom: 0.00


(5)
This record from the Alexandria database describes a relaxed V3CrNi2P6O24 crystal. The functional is GGA-PBEsol.

abc: 8.3209 8.3209 8.3209
angles: 61.25 61.25 61.25
With the nearest neighbours (Å) after each atom.
Fractional coordinates of all 36 atoms:
O: 0.4961 0.1185 0.3208  1 P 1.53
O: 0.0556 0.9124 0.2582  1 P 1.56
O: 0.0005 0.1829 0.3795  1 P 1.53
O: 0.9461 0.0888 0.7422  1 P 1.55
O: 0.4396 0.2426 0.5881  1 P 1.56
O: 0.3795 0.0005 0.1829  1 P 1.53
O: 0.4997 0.8801 0.6822  1 P 1.53
O: 0.8160 0.6189 0.0044  1 P 1.51
O: 0.7570 0.4117 0.5568  1 P 1.56
O: 0.8801 0.6822 0.4997  1 P 1.53
O: 0.4117 0.5568 0.7570  1 P 1.56
O: 0.6822 0.4997 0.8801  1 P 1.53
O: 0.9124 0.2582 0.0556  1 P 1.56
O: 0.1829 0.3795 0.0005  1 P 1.53
O: 0.2582 0.0556 0.9124  1 P 1.56
O: 0.6189 0.0044 0.8160  1 P 1.51
O: 0.5881 0.4396 0.2426  1 P 1.56
O: 0.7422 0.9461 0.0888  1 P 1.55
O: 0.0888 0.7422 0.9461  1 P 1.55
O: 0.5568 0.7570 0.4117  1 P 1.56
O: 0.1185 0.3208 0.4961  1 P 1.53
O: 0.0044 0.8160 0.6189  1 P 1.51
O: 0.2426 0.5881 0.4396  1 P 1.56
O: 0.3208 0.4961 0.1185  1 P 1.53
Cr: 0.8610 0.8610 0.8610  6 O 1.90-1.97
V: 0.3590 0.3590 0.3590  6 O 1.86-1.96
V: 0.6404 0.6404 0.6404  6 O 1.87-1.97
V: 0.1403 0.1403 0.1403  6 O 1.87-1.97
P: 0.9576 0.2494 0.5425  4 O 1.53-1.56
P: 0.4602 0.0411 0.7505  4 O 1.51-1.56
P: 0.2494 0.5425 0.9576  4 O 1.53-1.56
P: 0.0411 0.7505 0.4602  4 O 1.51-1.56
P: 0.5425 0.9576 0.2494  4 O 1.53-1.56
P: 0.7505 0.4602 0.0411  4 O 1.51-1.56
Ni: 0.0003 0.0003 0.0003  6 O 2.11
Ni: 0.4991 0.4991 0.4991  6 O 2.12-2.13

Output
Symmetry: R3
Formation energy without anion corrections, meV/atom: -2036.3


(6)
This record from the Alexandria database describes a relaxed LiTa2Ru crystal. The functional is GGA-PBEsol.

abc: 3.7388 3.7388 5.0851
angles: 111.57 111.57 90.00
With the nearest neighbours (Å) after each atom.
Fractional coordinates of all 4 atoms:
Li: 0.5000 0.5000 0.0000  8 Ta 2.64-2.87, 4 Ru 2.87
Ta: 0.7500 0.2500 0.5000  4 Ru 2.64, 4 Ta 2.87, 4 Li 2.87
Ta: 0.0000 0.0000 0.0000  4 Li 2.64, 4 Ta 2.87, 4 Ru 2.87
Ru: 0.2500 0.7500 0.5000  8 Ta 2.64-2.87, 4 Li 2.87

Output
Symmetry: I-4m2
Formation energy, eV per atom: 0.20